# 1
## CaSm2Ru (PBE-GGA)

Data for CaSm2Ru after structural relaxation. Values from VASP.

Quantum ESPRESSO input file:
```
&SYSTEM
  ibrav = 0, nat = 16, ntyp = 3
/
ATOMIC_SPECIES
Ca 40.08 Ca.upf
Sm 150.36 Sm.upf
Ru 101.07 Ru.upf
CELL_PARAMETERS angstrom
6.4928 0.0000 0.0000
0.0000 7.4264 0.0000
0.0000 0.0000 9.4967
ATOMIC_POSITIONS angstrom
Ca 4.1217 4.0329 2.3742
Ca 5.6175 0.3197 2.3742
Ca 2.3711 3.3935 7.1225
Ca 0.8753 7.1067 7.1225
Sm 1.1019 5.0043 0.6246
Sm 2.1445 1.2911 4.1237
Sm 5.3909 2.4221 5.3730
Sm 4.3483 6.1353 8.8721
Sm 5.3909 2.4221 8.8721
Sm 4.3483 6.1353 5.3730
Sm 1.1019 5.0043 4.1237
Sm 2.1445 1.2911 0.6246
Ru 0.4495 2.9788 2.3742
Ru 2.7970 6.6920 2.3742
Ru 6.0434 4.4476 7.1225
Ru 3.6959 0.7344 7.1225
```



# 2
## CsFeBi3 (PBE-GGA)

Data for CsFeBi3 after structural relaxation. Values from VASP.

Quantum ESPRESSO input file:
```
&SYSTEM
  ibrav = 0, nat = 5, ntyp = 3
/
ATOMIC_SPECIES
Cs 132.91 Cs.upf
Fe 55.84 Fe.upf
Bi 208.98 Bi.upf
CELL_PARAMETERS angstrom
-2.5780 -2.6053 -4.0979
4.7985 -2.0786 -1.6972
-0.7450 -4.3725 3.2485
ATOMIC_POSITIONS angstrom
Cs 0.7377 -4.5281 -1.2733
Fe 0.0000 0.0000 0.0000
Bi 2.3992 -1.0393 -0.8486
Bi -0.3725 -2.1862 1.6242
Bi -1.2890 -1.3026 -2.0490
```



# 3
## Pm4PtAu2 (PBE-GGA)

Data for Pm4PtAu2 after structural relaxation. Values from VASP.

Quantum ESPRESSO input file:
```
&SYSTEM
  ibrav = 0, nat = 7, ntyp = 3
/
ATOMIC_SPECIES
Au 196.97 Au.upf
Pt 195.08 Pt.upf
Pm 145.00 Pm.upf
CELL_PARAMETERS angstrom
-1.0999 -4.3344 -3.2454
5.1236 0.2383 -2.0547
0.2924 -2.4484 7.8745
ATOMIC_POSITIONS angstrom
Au 2.4903 -2.9817 -1.5653
Au 1.8258 -3.5629 4.1397
Pt 0.0000 0.0000 0.0000
Pm 3.4077 -4.7718 0.5147
Pm 0.9085 -1.7727 2.0597
Pm 2.5618 0.1192 -1.0274
Pm -0.5499 -2.1672 -1.6227
```



# 4
## Pu2Ga3Cu2 (PBE-GGA)

Data for Pu2Ga3Cu2 after structural relaxation. Values from VASP.

Quantum ESPRESSO input file:
```
&SYSTEM
  ibrav = 0, nat = 7, ntyp = 3
/
ATOMIC_SPECIES
Pu 244.00 Pu.upf
Ga 69.72 Ga.upf
Cu 63.55 Cu.upf
CELL_PARAMETERS angstrom
-2.3524 -1.9044 3.5136
2.5580 -0.3667 1.5139
-2.2587 7.4860 5.6298
ATOMIC_POSITIONS angstrom
Pu -0.6673 4.8719 5.2700
Pu -1.3858 0.3431 5.3873
Ga -1.6302 2.5844 3.3806
Ga 0.0000 0.0000 0.0000
Ga -2.9809 2.9973 5.7628
Cu -1.3214 0.1922 2.2794
Cu -3.2897 5.3895 6.8641
```



| no. | energy relative to the lowest polymorph listed for this composition (meV/atom) |
| --- | --- |
| 1 | 0 |
| 2 | 0 |
| 3 | 226 |
| 4 | 23 |